Entry 1:
A relaxed LaHgNO crystal, computed with PBE-GGA.

Distance to the lowest polymorph of the same formula: 136 meV per atom
Theoretical density: 9.34 g/cm3
Calculated volume: 16.4 Å³/atom
Calculated total energy: -22.564 eV per formula unit

a = 5.306 Å, b = 5.306 Å, c = 4.667 Å
α = 90.00°, β = 90.00°, γ = 90.00°
Atoms (fractional coordinates):
Hg 0.500 0.000 0.999
N 0.500 0.000 0.500
La 0.500 0.500 0.500
N 0.000 0.500 0.500
O 0.000 0.000 0.000
La 0.000 0.000 0.500
O 0.500 0.500 0.000
Hg 0.000 0.500 0.001

***

Entry 2:
A relaxed NaUPt crystal, computed with PBE-GGA.

Distance to the lowest polymorph of the same formula: 484 meV per atom
Theoretical density: 9.92 g/cm3
Calculated volume: 25.4 Å³/atom
Calculated total energy: -16.733 eV per formula unit

a = 4.761 Å, b = 4.761 Å, c = 4.761 Å
α = 60.00°, β = 60.00°, γ = 60.00°
Atoms (fractional coordinates):
Na 0.250 0.250 0.250
Pt 0.750 0.750 0.750
U 0.000 0.000 0.000

***

Entry 3:
A relaxed LuZnBi2 crystal, computed with PBE-GGA.

Theoretical density: 10.02 g/cm3
Calculated volume: 27.3 Å³/atom
Calculated total energy: -14.032 eV per formula unit

a = 5.364 Å, b = 5.364 Å, c = 5.364 Å
α = 60.00°, β = 60.00°, γ = 60.00°
Atoms (fractional coordinates):
Bi 0.750 0.750 0.750
Bi 0.000 0.000 0.000
Zn 0.500 0.500 0.500
Lu 0.250 0.250 0.250

***

Entry 4:
A relaxed CsScZnS3 crystal, computed with PBE-GGA.

Theoretical density: 3.82 g/cm3
Calculated volume: 24.6 Å³/atom
Calculated total energy: -29.410 eV per formula unit

a = 10.190 Å, b = 3.893 Å, c = 14.899 Å
α = 90.00°, β = 90.00°, γ = 90.00°
Atoms (fractional coordinates):
Zn 0.742 0.250 0.211
Sc 0.992 0.750 0.251
Sc 0.008 0.250 0.749
S 0.544 0.250 0.136
Sc 0.508 0.250 0.751
Zn 0.258 0.750 0.789
Zn 0.242 0.250 0.289
Zn 0.758 0.750 0.711
S 0.558 0.750 0.638
S 0.942 0.250 0.138
S 0.058 0.750 0.862
S 0.241 0.750 0.197
S 0.456 0.750 0.864
Cs 0.249 0.750 0.508
S 0.956 0.750 0.636
S 0.741 0.750 0.303
S 0.442 0.250 0.362
S 0.044 0.250 0.364
Cs 0.749 0.750 0.992
S 0.259 0.250 0.697
S 0.759 0.250 0.803
Cs 0.751 0.250 0.492
Cs 0.251 0.250 0.008
Sc 0.492 0.750 0.249

***

Entry 5:
A relaxed NdPaCu crystal, computed with PBE-GGA.

Distance to the lowest polymorph of the same formula: 0 meV per atom
ΔH_f (0 K): 0.495 eV per atom
Theoretical density: 9.44 g/cm3
Calculated volume: 25.7 Å³/atom
Calculated total energy: -16.491 eV per formula unit

a = 4.780 Å, b = 4.780 Å, c = 4.780 Å
α = 60.00°, β = 60.00°, γ = 60.00°
Atoms (fractional coordinates):
Pa 0.750 0.750 0.750
Nd 0.250 0.250 0.250
Cu 0.000 0.000 0.000

***

Entry 6:
A relaxed CdCuSiAgS4 crystal, computed with PBE-GGA.

Theoretical density: 4.37 g/cm3
Calculated volume: 20.9 Å³/atom
Calculated total energy: -33.223 eV per formula unit

a = 6.696 Å, b = 6.696 Å, c = 6.696 Å
α = 131.00°, β = 131.00°, γ = 71.81°
Atoms (fractional coordinates):
Ag 0.750 0.250 0.500
S 0.114 0.078 0.435
Si 0.000 0.000 0.000
S 0.922 0.357 0.036
Cu 0.250 0.750 0.500
S 0.321 0.886 0.964
S 0.643 0.679 0.565
Cd 0.500 0.500 0.000

***

Entry 7:
A relaxed Mo3AuC crystal, computed with PBE-GGA.

Theoretical density: 11.40 g/cm3
Calculated volume: 14.5 Å³/atom
Calculated total energy: -44.243 eV per formula unit

a = 4.168 Å, b = 4.168 Å, c = 4.168 Å
α = 90.00°, β = 90.00°, γ = 90.00°
Atoms (fractional coordinates):
Mo 0.500 0.500 0.000
Mo 0.000 0.500 0.500
Mo 0.500 0.000 0.500
C 0.500 0.500 0.500
Au 0.000 0.000 0.000

***

Entry 8:
A relaxed NaZrAgS3 crystal, computed with PBE-GGA.

Distance to the lowest polymorph of the same formula: 6 meV per atom
Theoretical density: 4.09 g/cm3
Calculated volume: 21.6 Å³/atom
Calculated total energy: -31.569 eV per formula unit

a = 7.500 Å, b = 3.800 Å, c = 9.417 Å
α = 90.00°, β = 105.50°, γ = 90.00°
Atoms (fractional coordinates):
Zr 0.812 0.750 0.342
S 0.591 0.250 0.371
Na 0.227 0.750 0.195
Ag 0.427 0.750 0.893
S 0.213 0.250 0.937
S 0.787 0.750 0.063
Na 0.773 0.250 0.805
Zr 0.188 0.250 0.658
S 0.409 0.750 0.629
S 0.065 0.250 0.366
Ag 0.573 0.250 0.107
S 0.935 0.750 0.634

***

What is the theoretical density in the sixth record? 4.37 g/cm3

***

Which of these has the highest calculated volume? LuZnBi2

***

The highest calculated total energy belongs to which entry? LuZnBi2